GGA-PBE ZrCu4Te, relaxed; crystal system = cubic; uncorrected energy = -4.674 eV/atom; space group = F-43m (216); energy relative to the elements, uncorrected = 2.8 kJ/mol of formula units
1.0
0.0000 3.6180 3.6180
3.6180 0.0000 3.6180
3.6180 3.6180 0.0000
Zr Cu Te
1 4 1
Direct
0.0000 0.0000 0.0000 Zr
0.1227 0.6258 0.6258 Cu
0.6258 0.1227 0.6258 Cu
0.6258 0.6258 0.1227 Cu
0.6258 0.6258 0.6258 Cu
0.2500 0.2500 0.2500 Te



GGA-PBE Tb2CeCo, relaxed; crystal system = orthorhombic; formation energy from the elements = -169 meV per atom; uncorrected energy = -5.744 eV/atom; ΔE to the lowest computed polymorph = 0.00 kcal/mol of atoms; space group = Pnma (62)
1.0
6.7947 0.0000 0.0000
0.0000 9.5806 0.0000
0.0000 0.0000 6.3222
Tb Ce Co
8 4 4
Direct
0.1672 0.0676 0.1742 Tb
0.1672 0.4324 0.1742 Tb
0.3328 0.5676 0.6742 Tb
0.3328 0.9324 0.6742 Tb
0.6672 0.0676 0.3258 Tb
0.6672 0.4324 0.3258 Tb
0.8328 0.5676 0.8258 Tb
0.8328 0.9324 0.8258 Tb
0.0595 0.2500 0.6516 Ce
0.4405 0.7500 0.1516 Ce
0.5595 0.2500 0.8484 Ce
0.9405 0.7500 0.3484 Ce
0.1388 0.7500 0.9881 Co
0.3612 0.2500 0.4881 Co
0.6388 0.7500 0.5119 Co
0.8612 0.2500 0.0119 Co



GGA-PBE TcAg, relaxed; crystal system = monoclinic; formation energy from the elements = 491 meV per atom; uncorrected energy = -6.118 eV/atom; ΔE to the lowest computed polymorph = 7.35 kcal/mol of atoms; space group = C2/m (12)
1.0
4.5850 -1.3357 0.0000
4.5850 1.3357 0.0000
-0.4550 0.0000 5.2765
Tc Ag
2 2
Direct
0.1184 0.1184 0.4085 Tc
0.8816 0.8816 0.5915 Tc
0.3739 0.3739 0.1101 Ag
0.6261 0.6261 0.8899 Ag



GGA-PBE K2LiPt3, relaxed; crystal system = monoclinic; formation energy from the elements = -279 meV per atom; uncorrected energy = -3.984 eV/atom; space group = C2/m (12)
1.0
4.7504 -2.7483 0.0000
4.7504 2.7483 0.0000
-3.1699 0.0000 4.7045
K Li Pt
2 1 3
Direct
0.1242 0.1242 0.3723 K
0.8758 0.8758 0.6277 K
0.5000 0.5000 0.5000 Li
0.0000 0.5000 0.0000 Pt
0.5000 0.0000 0.0000 Pt
0.5000 0.5000 0.0000 Pt



GGA-PBE PrThPt, relaxed; crystal system = trigonal; formation energy from the elements = -517 meV per atom; uncorrected energy = -6.597 eV/atom; ΔE to the lowest computed polymorph = 3.28 kcal/mol of atoms; space group = P3m1 (156)
1.0
4.8090 0.0000 0.0000
-2.4045 4.1647 0.0000
0.0000 0.0000 4.1071
Pr Th Pt
1 1 1
Direct
0.0000 0.0000 0.0000 Pr
0.6667 0.3333 0.5706 Th
0.3333 0.6667 0.3258 Pt



GGA-PBE Rb2Ce2USe6, relaxed; crystal system = monoclinic; uncorrected energy = -5.727 eV/atom; space group = C2/m (12); energy relative to the elements, uncorrected = -1640.4 kJ/mol of formula units
1.0
3.7296 -6.4252 0.0000
3.7296 6.4252 0.0000
-2.5072 0.0000 8.1527
Rb Ce U Se
2 2 1 6
Direct
0.1689 0.8311 0.0000 Rb
0.8311 0.1689 0.0000 Rb
0.3340 0.6660 0.5000 Ce
0.6660 0.3340 0.5000 Ce
0.0000 0.0000 0.5000 U
0.0638 0.3893 0.6922 Se
0.2575 0.2575 0.3077 Se
0.3893 0.0638 0.6922 Se
0.6107 0.9362 0.3078 Se
0.7425 0.7425 0.6923 Se
0.9362 0.6107 0.3078 Se



GGA-PBE Pr6Rh2I3Cl, relaxed; crystal system = monoclinic; uncorrected energy = -5.158 eV/atom; space group = C2/m (12); energy relative to the elements, uncorrected = -1160.1 kJ/mol of formula units
1.0
3.7385 -6.4579 0.0000
3.7385 6.4579 0.0000
-2.4798 0.0000 8.0275
Pr Rh I Cl
6 2 3 1
Direct
0.0737 0.4356 0.8089 Pr
0.2014 0.2014 0.1892 Pr
0.4356 0.0737 0.8089 Pr
0.5644 0.9263 0.1911 Pr
0.7986 0.7986 0.8108 Pr
0.9263 0.5644 0.1911 Pr
0.1672 0.8328 0.0000 Rh
0.8328 0.1672 0.0000 Rh
0.0000 0.0000 0.5000 I
0.3385 0.6615 0.5000 I
0.6615 0.3385 0.5000 I
0.5000 0.5000 0.0000 Cl